NiMo3C2: relaxed, GGA-PBE.

Results
uncorrected energy	-55.631	eV per formula unit

Unit cell a=3.0210 b=3.0210 c=18.1670 alpha=90.00 beta=90.00 gamma=120.00
Space group P6_3/mmc (No. 194)
Unique sites:
Ni1 0.0000 0.0000 0.2500 [2 per cell]
Mo1 0.0000 0.0000 0.0000 [2 per cell]
Mo2 0.3333 0.6667 0.1366 [4 per cell]
C1 0.3333 0.6667 0.5731 [4 per cell]

NiMo2C: relaxed, GGA-PBE.

Results
uncorrected energy	-36.077	eV per formula unit

Unit cell a=3.0368 b=3.0368 c=12.6815 alpha=90.00 beta=90.00 gamma=120.00
Space group P6_3/mmc (No. 194)
Unique sites:
Ni1 0.3333 0.6667 0.2500 [2 per cell]
Mo1 0.3333 0.6667 0.5915 [4 per cell]
C1 0.0000 0.0000 0.0000 [2 per cell]